{"formula": "MgZnGeTe2", "functional": "PBE", "state": "optimized geometry", "crystal_system": "tetragonal", "raw_formation_energy_ev_per_atom": 0.4926, "cell": [[5.4922, 0.0000, 0.0000], [0.0000, 5.4922, 0.0000], [0.0000, 0.0000, 5.0773]], "species": ["Mg", "Zn", "Ge", "Te", "Te"], "fractional_positions": [[0.0000, 0.0000, 0.0000], [0.5000, 0.5000, 0.5000], [0.0000, 0.0000, 0.5000], [0.0000, 0.5000, 0.0000], [0.5000, 0.0000, 0.0000]]}


{"formula": "Th2Mg2Ge3", "functional": "PBE", "state": "optimized geometry", "formation_enthalpy_0k_kj_per_mol_atoms": -51.3, "crystal_system": "monoclinic", "cell": [[7.8808, -2.1919, 0.0000], [7.8808, 2.1919, 0.0000], [-7.2027, 0.0000, 9.9009]], "species": ["Th", "Th", "Th", "Th", "Mg", "Mg", "Mg", "Mg", "Ge", "Ge", "Ge", "Ge", "Ge", "Ge"], "fractional_positions": [[0.1018, 0.1018, 0.4485], [0.2276, 0.2276, 0.8259], [0.7724, 0.7724, 0.1741], [0.8982, 0.8982, 0.5515], [0.0901, 0.0901, 0.1609], [0.4513, 0.4513, 0.1745], [0.5487, 0.5487, 0.8255], [0.9099, 0.9099, 0.8391], [0.1317, 0.1317, 0.9778], [0.3338, 0.3338, 0.6732], [0.4182, 0.4182, 0.3759], [0.5818, 0.5818, 0.6241], [0.6662, 0.6662, 0.3268], [0.8683, 0.8683, 0.0222]]}


{"formula": "ThMgGe", "functional": "PBE", "state": "optimized geometry", "formation_enthalpy_0k_kj_per_mol_atoms": -42.2, "crystal_system": "hexagonal", "cell": [[4.4730, 0.0000, 0.0000], [-2.2365, 3.8738, 0.0000], [0.0000, 0.0000, 4.1385]], "species": ["Th", "Mg", "Ge"], "fractional_positions": [[0.0000, 0.0000, 0.0000], [0.3333, 0.6667, 0.5000], [0.6667, 0.3333, 0.5000]]}


{"formula": "Th2MgGe3", "functional": "PBE", "state": "optimized geometry", "formation_enthalpy_0k_kj_per_mol_atoms": -57.3, "crystal_system": "orthorhombic", "cell": [[6.9636, 0.0000, 0.0000], [0.0000, 4.4310, 0.0000], [0.0000, 0.0000, 18.4709]], "species": ["Th", "Th", "Th", "Th", "Th", "Th", "Th", "Th", "Mg", "Mg", "Mg", "Mg", "Ge", "Ge", "Ge", "Ge", "Ge", "Ge", "Ge", "Ge", "Ge", "Ge", "Ge", "Ge"], "fractional_positions": [[0.1606, 0.2500, 0.0865], [0.1689, 0.2500, 0.2954], [0.3311, 0.7500, 0.7954], [0.3394, 0.7500, 0.5865], [0.6606, 0.2500, 0.4135], [0.6689, 0.2500, 0.2046], [0.8311, 0.7500, 0.7046], [0.8394, 0.7500, 0.9135], [0.0580, 0.7500, 0.4365], [0.4420, 0.2500, 0.9365], [0.5580, 0.7500, 0.0635], [0.9420, 0.2500, 0.5635], [0.0356, 0.2500, 0.8236], [0.1501, 0.2500, 0.6872], [0.2470, 0.7500, 0.9687], [0.2530, 0.2500, 0.4687], [0.3499, 0.7500, 0.1872], [0.4644, 0.7500, 0.3236], [0.5356, 0.2500, 0.6764], [0.6501, 0.2500, 0.8128], [0.7470, 0.7500, 0.5313], [0.7530, 0.2500, 0.0313], [0.8499, 0.7500, 0.3128], [0.9644, 0.7500, 0.1764]]}


{"formula": "Th4Mg5Ge6", "functional": "PBE", "state": "optimized geometry", "formation_enthalpy_0k_kj_per_mol_atoms": -48.5, "crystal_system": "orthorhombic", "cell": [[2.2091, -10.1156, 0.0000], [2.2091, 10.1156, 0.0000], [0.0000, 0.0000, 15.8151]], "species": ["Th", "Th", "Th", "Th", "Th", "Th", "Th", "Th", "Mg", "Mg", "Mg", "Mg", "Mg", "Mg", "Mg", "Mg", "Mg", "Mg", "Ge", "Ge", "Ge", "Ge", "Ge", "Ge", "Ge", "Ge", "Ge", "Ge", "Ge", "Ge"], "fractional_positions": [[0.0128, 0.9872, 0.5000], [0.0324, 0.9676, 0.7679], [0.1630, 0.8370, 0.3046], [0.1748, 0.8252, 0.9412], [0.8252, 0.1748, 0.4412], [0.8370, 0.1630, 0.8046], [0.9676, 0.0324, 0.2679], [0.9872, 0.0128, 0.0000], [0.1532, 0.8468, 0.6243], [0.3019, 0.6981, 0.6204], [0.3388, 0.6612, 0.2681], [0.3498, 0.6502, 0.9814], [0.4397, 0.5603, 0.6735], [0.5603, 0.4397, 0.1735], [0.6502, 0.3498, 0.4814], [0.6612, 0.3388, 0.7681], [0.6981, 0.3019, 0.1204], [0.8468, 0.1532, 0.1243], [0.1125, 0.8875, 0.1185], [0.2251, 0.7749, 0.4792], [0.2336, 0.7664, 0.7660], [0.4281, 0.5719, 0.4039], [0.4314, 0.5686, 0.1295], [0.4423, 0.5577, 0.8551], [0.5577, 0.4423, 0.3551], [0.5686, 0.4314, 0.6295], [0.5719, 0.4281, 0.9039], [0.7664, 0.2336, 0.2660], [0.7749, 0.2251, 0.9792], [0.8875, 0.1125, 0.6185]]}


{"formula": "Th2MgGe", "functional": "PBE", "state": "optimized geometry", "formation_enthalpy_0k_kj_per_mol_atoms": -23.4, "crystal_system": "tetragonal", "cell": [[4.8495, 0.0000, 0.0000], [0.0000, 4.8495, 0.0000], [0.0000, 0.0000, 4.4019]], "species": ["Th", "Th", "Mg", "Ge"], "fractional_positions": [[0.0000, 0.5000, 0.0000], [0.5000, 0.0000, 0.0000], [0.0000, 0.0000, 0.5000], [0.5000, 0.5000, 0.5000]]}


What are the density of states at the Fermi level values for these records? In order: 3.6, 7.1, 0.3, 11.3, 15.3, 3.1 states/eV per cell.
What are the total magnetic moment values for these records? In order: 0.00, 0.00, 0.00, 0.00, 0.00, 0.00 μB/cell.